Material: NaOsW2
Method: DFT, GGA-PBE
State: relaxed

Mass density = 15.3 Mg/m³
Formation enthalpy at 0 K = 89 kJ/mol of atoms
Spin magnetization = 0.000 μB per atom
Electronic total energy = -34.8 eV for the cell shown
Distance to the lowest polymorph of the same formula = 0 meV/atom

Cell lengths 4.4687, 4.4687, 4.4687 Å; angles 60.00, 60.00, 60.00 degrees
Sites, in units of the cell vectors:
Na 0.0000 0.0000 0.0000
Os 0.5000 0.5000 0.5000
W 0.2500 0.2500 0.2500
W 0.7500 0.7500 0.7500